# 1
A geometry-optimized SiNi3 structure. Source: Alexandria via LeMat-Bulk, functional GGA-PBE.

Output
* crystal system: cubic
* ΔE_f (raw): -457 meV/atom
* space group: Pm-3m, No. 221
* total energy: -24.59 eV per cell

abc: 3.5048 3.5048 3.5048
angles: 90.00 90.00 90.00
With the nearest neighbours (Å) after each atom.
Fractional coordinates of all 4 atoms:
Si: 0.0000 0.0000 0.0000  12 Ni 2.48
Ni: 0.0000 0.5000 0.5000  8 Ni 2.48, 4 Si 2.48
Ni: 0.5000 0.0000 0.5000  8 Ni 2.48, 4 Si 2.48
Ni: 0.5000 0.5000 0.0000  8 Ni 2.48, 4 Si 2.48

=====

# 2
A geometry-optimized Si2Ni structure. Source: Alexandria via LeMat-Bulk, functional GGA-PBE.

Output
* crystal system: orthorhombic
* ΔE_f (raw): -102 meV/atom
* space group: Cmcm, No. 63
* total energy: -33.86 eV per cell

abc: 6.0933 6.0933 4.5200
angles: 90.00 90.00 152.87
With the nearest neighbours (Å) after each atom.
Fractional coordinates of all 6 atoms:
Si: 0.0448 0.9552 0.7500  2 Ni 2.38, 4 Si 2.50-2.57
Si: 0.3648 0.6352 0.7500  4 Ni 2.37-2.41, 2 Si 2.57
Si: 0.6352 0.3648 0.2500  4 Ni 2.37-2.41, 2 Si 2.57
Si: 0.9552 0.0448 0.2500  2 Ni 2.38, 4 Si 2.50-2.57
Ni: 0.2948 0.7052 0.2500  6 Si 2.37-2.41
Ni: 0.7052 0.2948 0.7500  6 Si 2.37-2.41

=====

Number 1: M_tot 0.0 μB per cell. Number 2: M_tot 0.0 μB per cell.